Record 1
This record from Alexandria via LeMat-Bulk describes crystalline HoSiS4 at its relaxed geometry. The functional is GGA-PBE.

Summary:
The calculation puts the uncorrected formation energy at -23.00 kcal/mol of atoms. Its total energy is -0.398 Ry/atom.

a b c (Å): 5.5120 8.7613 6.4113
angles (deg): 90.00 110.24 90.00
Space group P2_1/m (No. 11)
One atom of each set of equivalent atoms:
1 Ho 0.1012 0.2500 0.1462 x2
2 Si 0.3193 0.7500 0.4323 x2
3 S 0.0953 0.5689 0.2335 x4
4 S 0.3152 0.2500 0.6040 x2
5 S 0.3734 0.7500 0.7769 x2

---

Record 2
This record from Alexandria via LeMat-Bulk describes crystalline Ho6SiS5 at its relaxed geometry. The functional is GGA-PBE.

Summary:
The calculation puts the uncorrected formation energy at -41.82 kcal/mol of atoms. Its total energy is -0.461 Ry/atom.

a b c (Å): 6.8021 11.7816 6.8153
angles (deg): 90.00 109.41 90.00
Space group C2/m (No. 12)
One atom of each set of equivalent atoms:
1 Ho 0.2474 0.1649 0.2478 x8
2 Ho 0.2480 0.0000 0.7535 x4
3 Si 0.0000 0.0000 0.0000 x2
4 S 0.0000 0.1673 0.5000 x4
5 S 0.0000 0.3332 0.0000 x4
6 S 0.0000 0.5000 0.5000 x2